The following is a DFT calculation (PBE) of a relaxed structure of BeAl2Mo.

## Properties
DFT formation energy (meV per atom): 28
M_tot (μB/atom): 0.000
ρ (g cm⁻³): 4.61

Geometry as POSCAR:
```
BeAl2Mo
1.0
3.294 0.000 0.000
0.000 3.294 0.000
0.000 0.000 5.277
Be Al Mo
1 2 1
Direct
0.500 0.500 0.250
0.000 0.000 0.001
0.000 0.000 0.499
0.500 0.500 0.750
```